KBeSi | GGA-PBE | optimized geometry

Properties
**Excess energy over the best structure of this formula in the dataset**: 618.9 meV per atom
**ΔE_f (raw)**: 926.5 meV per atom
**Space group**: F-43m

a b c (Å): 4.586 4.586 4.586
angles (deg): 60.00 60.00 60.00
Each line ends with the local moment (μB).
Element x y z (fractional)
1 Si 0.500 0.500 0.500  0.08
2 Be 0.750 0.750 0.750  0.03
3 K 0.000 0.000 0.000  0.01

=====

Sc5Hg | GGA-PBE | optimized geometry

Properties
**Excess energy over the best structure of this formula in the dataset**: 12.5 meV per atom
**Formation energy from the elements**: -0.11 eV per atom
**Space group**: C2/m

a b c (Å): 4.878 5.930 6.222
angles (deg): 62.08 90.00 114.29
Element x y z (fractional)
1 Sc 0.694 0.389 0.389
2 Sc 0.389 0.777 0.051
3 Sc 0.000 0.001 0.727
4 Sc 0.044 0.088 0.198
5 Hg 0.695 0.389 0.888
6 Sc 0.345 0.689 0.580

=====

LiRhAu | GGA-PBE | optimized geometry

Properties
**Excess energy over the best structure of this formula in the dataset**: 7.5 meV per atom
**Formation energy from the elements**: -0.09 eV per atom
**Space group**: Imm2

a b c (Å): 4.814 4.814 4.814
angles (deg): 147.21 130.21 60.91
Each line ends with the local moment (μB).
Element x y z (fractional)
1 Au 0.000 0.000 0.000  0.02
2 Li 0.333 0.333 0.000  -0.01
3 Rh 0.668 0.668 0.000  0.39

=====

Tb6AlTe5 | GGA-PBE | optimized geometry

Properties
**ΔE_f (raw)**: -1190.6 meV per atom
**Space group**: C2/m

a b c (Å): 7.564 7.564 7.571
angles (deg): 99.62 99.62 119.75
Element x y z (fractional)
1 Te 0.174 0.826 0.500
2 Tb 0.769 0.769 0.241
3 Tb 0.392 0.078 0.236
4 Tb 0.608 0.922 0.764
5 Te 0.826 0.174 0.500
6 Tb 0.078 0.392 0.236
7 Te 0.500 0.500 0.500
8 Tb 0.922 0.608 0.764
9 Te 0.665 0.335 0.000
10 Al 0.000 0.000 0.000
11 Tb 0.231 0.231 0.759
12 Te 0.335 0.665 0.000

=====

TlSnCl2 | GGA-PBE | optimized geometry

Properties
**Excess energy over the best structure of this formula in the dataset**: 148.0 meV per atom
**ΔE_f (raw)**: -515.7 meV per atom
**Space group**: Fm-3m

a b c (Å): 5.337 5.337 5.337
angles (deg): 60.00 60.00 60.00
Element x y z (fractional)
1 Cl 0.750 0.750 0.750
2 Tl 0.500 0.500 0.500
3 Cl 0.250 0.250 0.250
4 Sn 0.000 0.000 0.000

=====

NdThCrN4 | GGA-PBE | optimized geometry

Properties
**ΔE_f (raw)**: -1080.0 meV per atom
**Space group**: P2_1/m

a b c (Å): 5.834 5.435 6.903
angles (deg): 90.00 107.73 90.00
Element x y z (fractional)
1 N 0.428 0.750 0.143
2 N 0.969 0.496 0.742
3 N 0.969 0.004 0.742
4 Nd 0.288 0.250 0.073
5 N 0.031 0.996 0.258
6 Nd 0.712 0.750 0.927
7 Th 0.227 0.250 0.555
8 N 0.406 0.750 0.559
9 N 0.031 0.504 0.258
10 Cr 0.768 0.250 0.702
11 N 0.594 0.250 0.441
12 Cr 0.232 0.750 0.298
13 Th 0.773 0.750 0.445
14 N 0.572 0.250 0.857

=====

Ca4Sb2F | GGA-PBE | optimized geometry

Properties
**ΔE_f (raw)**: -1494.2 meV per atom
**Space group**: I4/mmm

a b c (Å): 4.694 4.694 9.235
angles (deg): 75.28 75.28 90.00
Each line ends with the local moment (μB).
Element x y z (fractional)
1 F 0.000 0.000 0.000  0.00
2 Ca 0.818 0.818 0.365  0.06
3 Sb 0.367 0.367 0.265  -0.01
4 Sb 0.633 0.633 0.735  -0.01
5 Ca 0.000 0.500 0.000  0.04
6 Ca 0.500 0.000 0.000  0.04
7 Ca 0.182 0.182 0.635  0.06

=====

La6TbPr5 | GGA-PBE | optimized geometry

Properties
**Excess energy over the best structure of this formula in the dataset**: 3.4 meV per atom
**Formation energy from the elements**: 0.01 eV per atom
**Space group**: C2/m

a b c (Å): 11.677 5.269 8.347
angles (deg): 71.60 81.79 63.09
Element x y z (fractional)
1 Tb 0.000 0.000 0.000
2 Pr 0.500 0.833 0.334
3 La 0.751 0.415 0.668
4 Pr 0.000 0.335 0.331
5 La 0.249 0.918 0.668
6 Pr 0.000 0.665 0.669
7 La 0.248 0.252 0.000
8 La 0.249 0.585 0.332
9 Pr 0.500 0.167 0.666
10 Pr 0.500 0.500 0.000
11 La 0.752 0.748 0.000
12 La 0.751 0.082 0.332

=====

no.,V (Å³/atom),density of states at the Fermi level (states/eV/f.u.),energy (eV per atom)
1,22.73,3.84,-2.489
2,23.46,8.17,-5.437
3,15.24,3.37,-4.270
4,29.55,5.58,-5.127
5,26.87,2.52,-3.031
6,14.89,3.75,-8.953
7,27.13,4.49,-4.083
8,36.21,21.29,-4.828